CoSiNiO4, relaxed, DFT GGA+U; total energy = -90.15 eV for the cell shown; ρ = 4.683 g/cm3; total moment = 5.0 μB per formula unit
1.0
5.041 0.069 0.000
-1.962 4.644 0.000
0.000 0.000 6.316
O Ni Co Si
8 2 2 2
Direct
0.257 0.743 0.461
0.212 0.252 0.750
0.252 0.212 0.250
0.788 0.748 0.250
0.257 0.743 0.039
0.748 0.788 0.750
0.743 0.257 0.961
0.743 0.257 0.539
0.175 0.825 0.750
0.825 0.175 0.250
0.500 0.500 0.500
0.500 0.500 0.000
0.145 0.855 0.250
0.855 0.145 0.750